Below is a relaxed NaV2O4 crystal, with properties calculated at the PBE with a Hubbard U level.

Properties
- M_tot (μB/f.u.) = 3.00
- VASP energy (eV per atom) = -7.15
- crystal system = monoclinic
- volume (A^3/atom) = 12.63

abc: 6.069 5.080 12.978
angles: 90.00 117.84 90.00
Space group P2/c (No. 13)
Unique sites:
Na (0.000, 0.027, 0.250)
Na (0.500, 0.347, 0.750)
V (0.000, 0.500, 0.000)
V (0.258, 0.011, 0.008)
V (0.500, 0.500, 0.000)
O (0.089, 0.159, 0.593)
O (0.167, 0.315, 0.417)
O (0.345, 0.323, 0.095)
O (0.403, 0.159, 0.907)